No. 1
Entry from Alexandria via LeMat-Bulk: Co5Sn3Se12 after structural relaxation (PBE).

Computed properties:
Formation energy (no corrections), eV/f.u.: -3.8

CIF file:
```
data_Co5Sn3Se12
_cell_length_a 15.2086
_cell_length_b 15.2086
_cell_length_c 15.2086
_cell_angle_alpha 90.00
_cell_angle_beta 90.00
_cell_angle_gamma 90.00
_symmetry_space_group_name_H-M 'I a -3 d'
_symmetry_Int_Tables_number 230
_symmetry_space_group_name_Hall '-I 4bd 2c 3'
loop_
_atom_site_label
_atom_site_type_symbol
_atom_site_fract_x
_atom_site_fract_y
_atom_site_fract_z
_atom_site_occupancy
Co1 Co 0.0000 0.0000 0.0000 1
Co2 Co 0.0000 0.2500 0.3750 1
Sn1 Sn 0.0000 0.2500 0.1250 1
Se1 Se 0.0281 0.0473 0.6486 1
```

No. 2
Entry from Alexandria via LeMat-Bulk: B2C after structural relaxation (PBE).

Computed properties:
E above lowest polymorph, eV/atom: 0.360
ΔE_f, meV/atom: 545

CIF file:
```
data_B2C
_cell_length_a 4.1184
_cell_length_b 4.5259
_cell_length_c 5.8980
_cell_angle_alpha 102.06
_cell_angle_beta 105.11
_cell_angle_gamma 90.68
_symmetry_space_group_name_H-M 'P 1'
_symmetry_Int_Tables_number 1
loop_
_symmetry_equiv_pos_as_xyz
'x,y,z'
loop_
_atom_site_label
_atom_site_type_symbol
_atom_site_fract_x
_atom_site_fract_y
_atom_site_fract_z
_atom_site_occupancy
B1 B 0.0000 0.0000 0.0000 1
B2 B 0.0330 0.4484 0.5193 1
B3 B 0.2547 0.6808 0.4056 1
B4 B 0.5284 0.9149 0.3562 1
B5 B 0.6095 0.4474 0.8718 1
B6 B 0.6721 0.6508 0.5194 1
B7 B 0.8246 0.1164 0.2824 1
B8 B 0.9221 0.6280 0.7934 1
C1 C 0.1544 0.9206 0.2651 1
C2 C 0.2220 0.4095 0.7851 1
C3 C 0.2866 0.1729 0.9255 1
C4 C 0.6547 0.1803 0.0128 1
```

No. 3
Entry from Alexandria via LeMat-Bulk: Pm12H3Ir5 after structural relaxation (PBE).

Computed properties:
Uncorrected energy, eV per atom: -5.50

CIF file:
```
data_Pm12H3Ir5
_cell_length_a 16.8793
_cell_length_b 16.8793
_cell_length_c 16.8793
_cell_angle_alpha 90.00
_cell_angle_beta 90.00
_cell_angle_gamma 90.00
_symmetry_space_group_name_H-M 'I a -3 d'
_symmetry_Int_Tables_number 230
_symmetry_space_group_name_Hall '-I 4bd 2c 3'
loop_
_atom_site_label
_atom_site_type_symbol
_atom_site_fract_x
_atom_site_fract_y
_atom_site_fract_z
_atom_site_occupancy
Pm1 Pm 0.0284 0.0704 0.6461 1
H1 H 0.0000 0.2500 0.1250 1
Ir1 Ir 0.0000 0.0000 0.0000 1
Ir2 Ir 0.0000 0.2500 0.3750 1
```

No. 4
Entry from Alexandria via LeMat-Bulk: MgMn2As after structural relaxation (PBE).

Computed properties:
ΔE_f, meV/atom: 168

CIF file:
```
data_MgMn2As
_cell_length_a 6.0694
_cell_length_b 6.0694
_cell_length_c 6.0694
_cell_angle_alpha 90.00
_cell_angle_beta 90.00
_cell_angle_gamma 90.00
_symmetry_space_group_name_H-M 'F -4 3 m'
_symmetry_Int_Tables_number 216
_symmetry_space_group_name_Hall 'F -4 2 3'
loop_
_atom_site_label
_atom_site_type_symbol
_atom_site_fract_x
_atom_site_fract_y
_atom_site_fract_z
_atom_site_occupancy
Mg1 Mg 0.0000 0.0000 0.0000 1
Mn1 Mn 0.0000 0.0000 0.5000 1
Mn2 Mn 0.2500 0.2500 0.2500 1
As1 As 0.2500 0.2500 0.7500 1
```

No. 5
Entry from Alexandria via LeMat-Bulk: Re3W13 after structural relaxation (PBE).

Computed properties:
ΔE_f, meV/atom: 35

CIF file:
```
data_Re3W13
_cell_length_a 6.3385
_cell_length_b 8.9635
_cell_length_c 8.9800
_cell_angle_alpha 90.00
_cell_angle_beta 90.00
_cell_angle_gamma 90.00
_symmetry_space_group_name_H-M 'A m m 2'
_symmetry_Int_Tables_number 38
loop_
_symmetry_equiv_pos_as_xyz
'x,y,z'
'-x,-y,z'
'-x,y,z'
'x,-y,z'
'x,y+1/2,z+1/2'
'-x,-y+1/2,z+1/2'
'-x,y+1/2,z+1/2'
'x,-y+1/2,z+1/2'
loop_
_atom_site_label
_atom_site_type_symbol
_atom_site_fract_x
_atom_site_fract_y
_atom_site_fract_z
_atom_site_occupancy
Re1 Re 0.0000 0.0000 0.0000 1
Re2 Re 0.2509 0.0000 0.2558 1
W1 W 0.0000 0.0000 0.5048 1
W2 W 0.0000 0.2484 0.2534 1
W3 W 0.2499 0.0000 0.7545 1
W4 W 0.2499 0.2498 0.0048 1
W5 W 0.5000 0.0000 0.0047 1
W6 W 0.5000 0.0000 0.5028 1
W7 W 0.5000 0.2487 0.7537 1
```

No. 6
Entry from Alexandria via LeMat-Bulk: HfNp2As3 after structural relaxation (PBE).

Computed properties:
ΔE_f, meV/atom: -765

CIF file:
```
data_HfNp2As3
_cell_length_a 4.0236
_cell_length_b 4.0236
_cell_length_c 16.9144
_cell_angle_alpha 90.00
_cell_angle_beta 90.00
_cell_angle_gamma 90.00
_symmetry_space_group_name_H-M 'I 4/m m m'
_symmetry_Int_Tables_number 139
_symmetry_space_group_name_Hall '-I 4 2'
loop_
_atom_site_label
_atom_site_type_symbol
_atom_site_fract_x
_atom_site_fract_y
_atom_site_fract_z
_atom_site_occupancy
Hf1 Hf 0.0000 0.0000 0.0000 1
Np1 Np 0.0000 0.0000 0.3335 1
As1 As 0.0000 0.0000 0.1611 1
As2 As 0.0000 0.0000 0.5000 1
```

No. 7
Entry from Alexandria via LeMat-Bulk: Cu4Pt2Au after structural relaxation (PBE).

Computed properties:
ΔE_f, meV/atom: 29

CIF file:
```
data_Cu4Pt2Au
_cell_length_a 6.2598
_cell_length_b 6.2598
_cell_length_c 5.2888
_cell_angle_alpha 90.00
_cell_angle_beta 90.00
_cell_angle_gamma 90.00
_symmetry_space_group_name_H-M 'I 4/m m m'
_symmetry_Int_Tables_number 139
_symmetry_space_group_name_Hall '-I 4 2'
loop_
_atom_site_label
_atom_site_type_symbol
_atom_site_fract_x
_atom_site_fract_y
_atom_site_fract_z
_atom_site_occupancy
Cu1 Cu 0.2020 0.2020 0.0000 1
Pt1 Pt 0.0000 0.5000 0.2500 1
Au1 Au 0.0000 0.0000 0.5000 1
```

No. 8
Entry from Alexandria via LeMat-Bulk: MgSc4O after structural relaxation (PBE).

Computed properties:
Formation energy (no corrections), eV/f.u.: -5.8

CIF file:
```
data_MgSc4O
_cell_length_a 14.2855
_cell_length_b 5.6156
_cell_length_c 6.1721
_cell_angle_alpha 90.00
_cell_angle_beta 104.67
_cell_angle_gamma 90.00
_symmetry_space_group_name_H-M 'C 1 2/c 1'
_symmetry_Int_Tables_number 15
loop_
_symmetry_equiv_pos_as_xyz
'x,y,z'
'-x,-y,-z'
'-x,y,-z+1/2'
'x,-y,z+1/2'
'x+1/2,y+1/2,z'
'-x+1/2,-y+1/2,-z'
'-x+1/2,y+1/2,-z+1/2'
'x+1/2,-y+1/2,z+1/2'
loop_
_atom_site_label
_atom_site_type_symbol
_atom_site_fract_x
_atom_site_fract_y
_atom_site_fract_z
_atom_site_occupancy
Mg1 Mg 0.0000 0.0877 0.2500 1
Sc1 Sc 0.1042 0.4225 0.9436 1
Sc2 Sc 0.2064 0.0765 0.6653 1
O1 O 0.2500 0.2500 0.0000 1
```

No. 9
Entry from Alexandria via LeMat-Bulk: BaGa3Si after structural relaxation (PBE).

Computed properties:
E above lowest polymorph, eV/atom: 0.000
Formation energy (no corrections), eV/f.u.: -1.7

CIF file:
```
data_BaGa3Si
_cell_length_a 4.6919
_cell_length_b 4.6919
_cell_length_c 10.2418
_cell_angle_alpha 90.00
_cell_angle_beta 90.00
_cell_angle_gamma 90.00
_symmetry_space_group_name_H-M 'I 4 m m'
_symmetry_Int_Tables_number 107
_symmetry_space_group_name_Hall 'I 4 -2'
loop_
_atom_site_label
_atom_site_type_symbol
_atom_site_fract_x
_atom_site_fract_y
_atom_site_fract_z
_atom_site_occupancy
Ba1 Ba 0.0000 0.0000 0.0000 1
Ga1 Ga 0.0000 0.0000 0.6247 1
Ga2 Ga 0.0000 0.5000 0.2526 1
Si1 Si 0.0000 0.0000 0.3763 1
```

No. 10
Entry from Alexandria via LeMat-Bulk: CeNd3Mg2 after structural relaxation (PBE).

Computed properties:
ΔE_f, meV/atom: -30

CIF file:
```
data_CeNd3Mg2
_cell_length_a 3.6543
_cell_length_b 3.6543
_cell_length_c 13.5490
_cell_angle_alpha 90.00
_cell_angle_beta 90.00
_cell_angle_gamma 90.00
_symmetry_space_group_name_H-M 'P 4/m m m'
_symmetry_Int_Tables_number 123
_symmetry_space_group_name_Hall '-P 4 2'
loop_
_atom_site_label
_atom_site_type_symbol
_atom_site_fract_x
_atom_site_fract_y
_atom_site_fract_z
_atom_site_occupancy
Ce1 Ce 0.0000 0.0000 0.0000 1
Nd1 Nd 0.5000 0.5000 0.1741 1
Nd2 Nd 0.5000 0.5000 0.5000 1
Mg1 Mg 0.0000 0.0000 0.3380 1
```

No. 11
Entry from Alexandria via LeMat-Bulk: YTh4 after structural relaxation (PBE).

Computed properties:
E above lowest polymorph, eV/atom: 0.000
ΔE_f, meV/atom: 36

CIF file:
```
data_YTh4
_cell_length_a 3.5994
_cell_length_b 5.0167
_cell_length_c 17.8457
_cell_angle_alpha 90.00
_cell_angle_beta 90.00
_cell_angle_gamma 90.00
_symmetry_space_group_name_H-M 'I m m m'
_symmetry_Int_Tables_number 71
_symmetry_space_group_name_Hall '-I 2 2'
loop_
_atom_site_label
_atom_site_type_symbol
_atom_site_fract_x
_atom_site_fract_y
_atom_site_fract_z
_atom_site_occupancy
Y1 Y 0.0000 0.0000 0.0000 1
Th1 Th 0.0000 0.0000 0.1996 1
Th2 Th 0.0000 0.0000 0.3978 1
```

No. 12
Entry from Alexandria via LeMat-Bulk: CaTcN2 after structural relaxation (PBE).

Computed properties:
E above lowest polymorph, eV/atom: 0.128
Formation energy (no corrections), eV/f.u.: -1.8

CIF file:
```
data_CaTcN2
_cell_length_a 4.9379
_cell_length_b 4.9379
_cell_length_c 9.9255
_cell_angle_alpha 90.00
_cell_angle_beta 90.00
_cell_angle_gamma 90.00
_symmetry_space_group_name_H-M 'I -4 2 d'
_symmetry_Int_Tables_number 122
_symmetry_space_group_name_Hall 'I -4 2bw'
loop_
_atom_site_label
_atom_site_type_symbol
_atom_site_fract_x
_atom_site_fract_y
_atom_site_fract_z
_atom_site_occupancy
Ca1 Ca 0.0000 0.0000 0.0000 1
Tc1 Tc 0.0000 0.0000 0.5000 1
N1 N 0.1677 0.2500 0.6250 1
```

No. 13
Entry from Alexandria via LeMat-Bulk: Nb2ReN after structural relaxation (PBE).

Computed properties:
Formation energy (no corrections), eV/f.u.: 0.5

CIF file:
```
data_Nb2ReN
_cell_length_a 6.1096
_cell_length_b 6.1096
_cell_length_c 6.8671
_cell_angle_alpha 90.00
_cell_angle_beta 90.00
_cell_angle_gamma 90.00
_symmetry_space_group_name_H-M 'I -4 2 d'
_symmetry_Int_Tables_number 122
_symmetry_space_group_name_Hall 'I -4 2bw'
loop_
_atom_site_label
_atom_site_type_symbol
_atom_site_fract_x
_atom_site_fract_y
_atom_site_fract_z
_atom_site_occupancy
Nb1 Nb 0.1730 0.7500 0.1250 1
Re1 Re 0.0000 0.0000 0.5000 1
N1 N 0.0000 0.0000 0.0000 1
```

No. 14
Entry from Alexandria via LeMat-Bulk: MgPaTl after structural relaxation (PBE).

Computed properties:
E above lowest polymorph, eV/atom: 0.006
ΔE_f, meV/atom: 193

CIF file:
```
data_MgPaTl
_cell_length_a 5.1571
_cell_length_b 5.1571
_cell_length_c 3.2357
_cell_angle_alpha 90.00
_cell_angle_beta 90.00
_cell_angle_gamma 120.00
_symmetry_space_group_name_H-M 'P -6 m 2'
_symmetry_Int_Tables_number 187
_symmetry_space_group_name_Hall 'P -6 2'
loop_
_atom_site_label
_atom_site_type_symbol
_atom_site_fract_x
_atom_site_fract_y
_atom_site_fract_z
_atom_site_occupancy
Mg1 Mg 0.0000 0.0000 0.0000 1
Pa1 Pa 0.6667 0.3333 0.5000 1
Tl1 Tl 0.3333 0.6667 0.0000 1
```

No. 15
Entry from Alexandria via LeMat-Bulk: Zr2FeCl after structural relaxation (PBE).

Computed properties:
E above lowest polymorph, eV/atom: 0.688
Formation energy (no corrections), eV/f.u.: 0.7

CIF file:
```
data_Zr2FeCl
_cell_length_a 5.6239
_cell_length_b 5.6239
_cell_length_c 12.1033
_cell_angle_alpha 90.00
_cell_angle_beta 90.00
_cell_angle_gamma 90.00
_symmetry_space_group_name_H-M 'I -4 2 d'
_symmetry_Int_Tables_number 122
_symmetry_space_group_name_Hall 'I -4 2bw'
loop_
_atom_site_label
_atom_site_type_symbol
_atom_site_fract_x
_atom_site_fract_y
_atom_site_fract_z
_atom_site_occupancy
Zr1 Zr 0.2051 0.2500 0.1250 1
Fe1 Fe 0.0000 0.0000 0.0000 1
Cl1 Cl 0.0000 0.0000 0.5000 1
```

No. 16
Entry from Alexandria via LeMat-Bulk: TlTeBrN2 after structural relaxation (PBE).

Computed properties:
E above lowest polymorph, eV/atom: 0.000
Formation energy (no corrections), eV/f.u.: 8.5

CIF file:
```
data_TlTeBrN2
_cell_length_a 4.4186
_cell_length_b 4.4186
_cell_length_c 6.6221
_cell_angle_alpha 90.00
_cell_angle_beta 90.00
_cell_angle_gamma 90.00
_symmetry_space_group_name_H-M 'P 4/m m m'
_symmetry_Int_Tables_number 123
_symmetry_space_group_name_Hall '-P 4 2'
loop_
_atom_site_label
_atom_site_type_symbol
_atom_site_fract_x
_atom_site_fract_y
_atom_site_fract_z
_atom_site_occupancy
Tl1 Tl 0.0000 0.0000 0.0000 1
Te1 Te 0.0000 0.0000 0.5000 1
Br1 Br 0.5000 0.5000 0.5000 1
N1 N 0.0000 0.5000 0.0000 1
```

No. 17
Entry from Alexandria via LeMat-Bulk: ErTl3Pd7 after structural relaxation (PBE).

Computed properties:
ΔE_f, meV/atom: -233

CIF file:
```
data_ErTl3Pd7
_cell_length_a 8.7138
_cell_length_b 9.7885
_cell_length_c 5.5991
_cell_angle_alpha 90.00
_cell_angle_beta 112.77
_cell_angle_gamma 90.00
_symmetry_space_group_name_H-M 'C 1 2/m 1'
_symmetry_Int_Tables_number 12
loop_
_symmetry_equiv_pos_as_xyz
'x,y,z'
'-x,-y,-z'
'-x,y,-z'
'x,-y,z'
'x+1/2,y+1/2,z'
'-x+1/2,-y+1/2,-z'
'-x+1/2,y+1/2,-z'
'x+1/2,-y+1/2,z'
loop_
_atom_site_label
_atom_site_type_symbol
_atom_site_fract_x
_atom_site_fract_y
_atom_site_fract_z
_atom_site_occupancy
Er1 Er 0.0000 0.0000 0.0000 1
Tl1 Tl 0.0000 0.2732 0.5000 1
Tl2 Tl 0.0000 0.5000 0.0000 1
Pd1 Pd 0.0000 0.0000 0.5000 1
Pd2 Pd 0.1730 0.2574 0.1752 1
Pd3 Pd 0.2016 0.5000 0.5507 1
```